Below is a relaxed Ac7CeRu3 crystal, with properties calculated at the PBE level.

Unit cell a=8.416 b=8.384 c=8.044 alpha=75.02 beta=58.46 gamma=59.88
Fractional coordinates of all 11 atoms:
Ac 0.354 0.918 0.373
Ac 0.284 0.584 0.848
Ac 0.853 0.920 0.373
Ac 0.274 0.087 0.856
Ac 0.783 0.087 0.856
Ac 0.357 0.422 0.356
Ac 0.866 0.422 0.356
Ce 0.811 0.583 0.794
Ru 0.058 0.266 0.617
Ru 0.576 0.746 0.620
Ru 0.058 0.746 0.620

ΔH_f (0 K) ... -0.170 eV/atom
Total DFT energy (no corrections) ... -5.8536 eV per atom
Density ... 8.07 Mg/m³

Below is a relaxed NiPd2S2 crystal, with properties calculated at the PBE level.

Unit cell a=6.288 b=6.288 c=3.772 alpha=90.00 beta=90.00 gamma=90.00
Fractional coordinates of all 10 atoms:
Ni 0.000 0.000 0.000
Ni 0.500 0.500 0.000
S 0.328 0.828 0.000
S 0.828 0.672 0.000
S 0.672 0.172 0.000
S 0.172 0.328 0.000
Pd 0.158 0.658 0.500
Pd 0.658 0.842 0.500
Pd 0.842 0.342 0.500
Pd 0.342 0.158 0.500

E_form (uncorrected) ... -0.0091 eV/atom
Total DFT energy (no corrections) ... -4.8935 eV per atom
Density ... 7.48 Mg/m³

Below is a relaxed DyY2H crystal, with properties calculated at the PBE level.

Unit cell a=3.595 b=3.595 c=8.807 alpha=78.22 beta=78.22 gamma=60.00
Fractional coordinates of all 4 atoms:
Dy 0.500 0.500 0.501
Y 0.055 0.055 0.835
Y 0.279 0.279 0.162
H 0.666 0.666 0.002

Energy relative to the lowest polymorph listed for this composition ... 15 meV per atom
Total DFT energy (no corrections) ... -5.3989 eV per atom
Density ... 5.92 Mg/m³

Below is a relaxed MnFeTe2 crystal, with properties calculated at the PBE level.

Unit cell a=4.330 b=4.330 c=6.834 alpha=80.20 beta=80.20 gamma=46.98
Fractional coordinates of all 4 atoms:
Fe 0.508 0.508 0.446
Mn 0.242 0.242 0.306
Te 0.982 0.982 0.125
Te 0.768 0.768 0.623

E_form (uncorrected) ... 0.0248 eV/atom
Total DFT energy (no corrections) ... -5.9541 eV per atom
Density ... 6.60 Mg/m³